First-principles (PBE+U) data for a geometry-optimized NaV2BiF structure, as listed in Alexandria via LeMat-Bulk.

POSCAR file:
```
NaV2BiF
1.0
4.371 0.000 0.000
0.000 4.371 0.000
0.000 0.000 5.946
Na V Bi F
1 2 1 1
direct
0.000 0.000 0.000 Na
0.000 0.500 0.500 V
0.500 0.000 0.500 V
0.500 0.500 0.000 Bi
0.500 0.500 0.500 F
```

Values from the calculation:
total energy: -21.65 eV/cell
D(E_F): 3.7 states/eV/cell